The following is a GGA-PBE calculation of a relaxed Nd2PaN4 crystal, from OQMD.

Properties
**E_tot**: -8.832 eV per atom

a b c (Å): 6.0560 10.0852 3.6305
angles (deg): 90.00 90.00 90.00
Space group Pbam (No. 55)
Unique sites:
Nd 0.0614 0.1750 0.0000
Pa 0.0000 0.5000 0.5000
N 0.1478 0.6952 0.5000
N 0.2308 0.4586 0.0000

***

The following is a GGA-PBE calculation of a relaxed Nd2PdN3 crystal, from OQMD.

Properties
**E_tot**: -7.356 eV per atom

a b c (Å): 3.5293 3.8724 12.9074
angles (deg): 90.00 90.00 90.00
Space group Immm (No. 71)
Unique sites:
Nd 0.0000 0.0000 0.1504
Pd 0.0000 0.0000 0.5000
N 0.0000 0.0000 0.3340
N 0.0000 0.5000 0.5000